This record from the Alexandria database describes a geometry-optimized HfMnGa2O6 structure. The functional is GGA+U.

Output
As for the total energy: -7.574 eV/atom. The magnetization is 5.00 μB per formula unit.

Lattice parameters (Å, degrees): 5.2590 5.2590 5.5699 61.83 61.83 60.00
With the nearest neighbours (Å) after each atom.
Fractional coordinates of all 10 atoms:
Hf1 0.3085 0.3086 0.0744  6 O 2.05-2.15
Mn1 0.8036 0.8036 0.5893  6 O 2.14-2.30
Ga1 0.5210 0.5209 0.4371  6 O 1.97-2.13
Ga2 0.0227 0.0227 0.9318  3 O 1.94
O1 0.6200 0.2388 0.2420  2 Ga 1.97-2.18, 1 Hf 2.05
O2 0.2388 0.8992 0.2421  2 Ga 1.97-2.18, 1 Hf 2.05
O3 0.8992 0.6200 0.2420  2 Ga 1.97-2.18, 1 Hf 2.05
O4 0.3812 0.7245 0.7522  2 Ga 1.94-2.13, 1 Mn 2.14, 1 Hf 2.15
O5 0.7244 0.1422 0.7522  2 Ga 1.94-2.13, 1 Mn 2.14, 1 Hf 2.15
O6 0.1422 0.3812 0.7522  2 Ga 1.94-2.13, 1 Mn 2.14, 1 Hf 2.15